1.
Compound: Sb2MoN
Source: Alexandria via LeMat-Bulk
Functional: PBE
Structure: relaxed

Lattice parameters (Å, degrees): 6.155 6.155 6.029 59.31 59.31 90.00
Site moments in Bohr magnetons follow the coordinates.
Positions (direct):
Mo1 0.750 0.250 0.500  0.85
Mo2 0.000 0.000 0.000  0.85
N1 0.500 0.500 0.000  -0.01
N2 0.250 0.750 0.500  -0.01
Sb1 0.375 0.436 0.750  -0.03
Sb2 0.875 0.814 0.750  -0.03
Sb3 0.186 0.625 0.250  -0.03
Sb4 0.564 0.125 0.250  -0.03

Calculated values
Crystal system: tetragonal
Total moment (μB/cell): 1.8
Formation energy from raw total energies (eV per atom): 0.82

2.
Compound: SbMoSe2N
Source: Alexandria via LeMat-Bulk
Functional: PBE
Structure: relaxed

Lattice parameters (Å, degrees): 5.155 5.155 3.796 90.00 90.00 90.00
Site moments in Bohr magnetons follow the coordinates.
Positions (direct):
N1 0.000 0.000 0.500  -0.01
Mo1 0.000 0.000 0.000  0.06
Sb1 0.500 0.500 0.500  0.01
Se1 0.500 0.000 0.000  0.00
Se2 0.000 0.500 0.000  0.00

Calculated values
Crystal system: tetragonal
Energy above the most stable polymorph in this dataset (meV per atom): 0
Total moment (μB/cell): 0.1
Formation energy from raw total energies (eV per atom): 0.16

3.
Compound: SbMoSe2N
Source: Alexandria via LeMat-Bulk
Functional: PBE
Structure: relaxed

Lattice parameters (Å, degrees): 5.352 5.352 3.856 90.00 90.00 90.00
Site moments in Bohr magnetons follow the coordinates.
Positions (direct):
Sb1 0.000 0.000 0.000  0.02
Se1 0.000 0.500 0.000  -0.13
Se2 0.500 0.000 0.000  -0.13
Mo1 0.500 0.500 0.500  3.40
N1 0.000 0.000 0.500  -0.01

Calculated values
Crystal system: tetragonal
Energy above the most stable polymorph in this dataset (meV per atom): 1046
Total moment (μB/cell): 3.7
Formation energy from raw total energies (eV per atom): 1.21

4.
Compound: TcSbMo2N
Source: Alexandria via LeMat-Bulk
Functional: PBE
Structure: relaxed

Lattice parameters (Å, degrees): 4.706 4.996 4.706 90.00 90.00 90.00
Site moments in Bohr magnetons follow the coordinates.
Positions (direct):
N1 0.500 0.500 0.500  0.54
Sb1 0.000 0.500 0.000  -0.04
Tc1 0.000 0.000 0.000  -0.07
Mo1 0.500 0.000 0.000  0.38
Mo2 0.000 0.000 0.500  0.46

Calculated values
Crystal system: tetragonal
Total moment (μB/cell): 1.6
Formation energy from raw total energies (eV per atom): 2.37